Entry 1:
Computed, not measured: a geometry-optimized CrHgC2I structure at the PBE-GGA level of DFT.

a = 4.2450 Å, b = 6.1241 Å, c = 4.2450 Å
α = 90.00°, β = 90.00°, γ = 90.00°
Closest atoms and distances in Å follow each position.
Fractional positions:
Hg  0.0000  0.5000  0.0000  4 Cr 3.00, 2 I 3.06
C  0.0000  0.0000  0.5000  2 I 2.12
C  0.5000  0.0000  0.0000  2 I 2.12
I  0.0000  0.0000  0.0000  4 C 2.12
Cr  0.5000  0.5000  0.5000  4 Hg 3.00

Properties
E_form (uncorrected) = 3239 meV/atom
crystal system = tetragonal
magnetic moment = 0.72 μB per formula unit

Entry 2:
Computed, not measured: a geometry-optimized CrHg2IrC structure at the PBE-GGA level of DFT.

a = 5.3347 Å, b = 3.8200 Å, c = 5.3347 Å
α = 90.00°, β = 90.00°, γ = 90.00°
Closest atoms and distances in Å follow each position.
Fractional positions:
Hg  0.0000  0.0000  0.5000  2 Ir 2.67
Hg  0.5000  0.0000  0.0000  2 Ir 2.67
Ir  0.0000  0.0000  0.0000  2 C 1.91
Cr  0.5000  0.5000  0.5000  8 Hg 3.28
C  0.0000  0.5000  0.0000  2 Ir 1.91

Properties
crystal system = tetragonal
magnetic moment = 5.04 μB per formula unit
DFT formation energy = 21.1 kcal/mol of atoms

Entry 3:
Computed, not measured: a geometry-optimized MnCrHgC2 structure at the PBE-GGA level of DFT.

a = 3.7871 Å, b = 5.2231 Å, c = 3.7871 Å
α = 90.00°, β = 90.00°, γ = 90.00°
Closest atoms and distances in Å follow each position.
Fractional positions:
C  0.5000  0.0000  0.0000  2 Cr 1.89
C  0.0000  0.0000  0.5000  2 Cr 1.89
Cr  0.0000  0.0000  0.0000  4 C 1.89
Mn  0.5000  0.5000  0.5000  4 Hg 2.68
Hg  0.0000  0.5000  0.0000  2 Cr 2.61, 4 Mn 2.68

Properties
crystal system = tetragonal
magnetic moment = 0.11 μB per formula unit
DFT formation energy = 44.1 kcal/mol of atoms

Entry 4:
Computed, not measured: a geometry-optimized Cr2NiHgC structure at the PBE-GGA level of DFT.

a = 5.2279 Å, b = 3.8540 Å, c = 5.2279 Å
α = 90.00°, β = 90.00°, γ = 90.00°
Closest atoms and distances in Å follow each position.
Fractional positions:
Ni  0.5000  0.5000  0.5000  8 Cr 3.25
Hg  0.0000  0.0000  0.0000  2 C 1.93
Cr  0.0000  0.0000  0.5000  2 Hg 2.61
Cr  0.5000  0.0000  0.0000  2 Hg 2.61
C  0.0000  0.5000  0.0000  2 Hg 1.93

Properties
crystal system = tetragonal
magnetic moment = 7.99 μB per formula unit
DFT formation energy = 51.3 kcal/mol of atoms

Entry 5:
Computed, not measured: a geometry-optimized Cr2NiHgC structure at the PBE-GGA level of DFT.

a = 4.5230 Å, b = 4.7525 Å, c = 4.5230 Å
α = 90.00°, β = 90.00°, γ = 90.00°
Closest atoms and distances in Å follow each position.
Fractional positions:
Hg  0.0000  0.5000  0.0000  2 Ni 2.38
C  0.5000  0.5000  0.5000  4 Hg 3.20, 8 Cr 3.28
Cr  0.0000  0.0000  0.5000  2 Ni 2.26
Cr  0.5000  0.0000  0.0000  2 Ni 2.26
Ni  0.0000  0.0000  0.0000  4 Cr 2.26, 2 Hg 2.38

Properties
crystal system = tetragonal
magnetic moment = 6.77 μB per formula unit
DFT formation energy = 47.1 kcal/mol of atoms

Entry 6:
Computed, not measured: a geometry-optimized CrReHg2C structure at the PBE-GGA level of DFT.

a = 4.6103 Å, b = 3.7421 Å, c = 4.6103 Å
α = 90.00°, β = 90.00°, γ = 90.00°
Closest atoms and distances in Å follow each position.
Fractional positions:
Re  0.5000  0.5000  0.5000  8 Hg 2.97, 4 Cr 3.26
C  0.0000  0.0000  0.0000  2 Cr 1.87
Cr  0.0000  0.5000  0.0000  2 C 1.87
Hg  0.5000  0.0000  0.0000  2 C 2.31
Hg  0.0000  0.0000  0.5000  2 C 2.31

Properties
crystal system = tetragonal
magnetic moment = 0.00 μB per formula unit
DFT formation energy = 35.6 kcal/mol of atoms

Table of DOS at the Fermi energy (states/eV per atom), in record order: 1.13; 0.43; 2.24; 1.04; 1.28; 1.47
Table of raw total energy (eV per atom), in record order: -2.746; -4.746; -5.594; -4.687; -4.869; -4.835